No. 1
Tb2PmTc9 GGA-PBE optimized geometry; Fermi-level density of states = 14.05 states/eV/cell; DFT total energy = -107.5 eV per cell; symmetry = R-3m, No. 166; size of the total moment = 0.00 μB per cell; energy relative to the elements = -16 meV/atom
1.0
2.6966 1.5569 8.7146
-2.6966 1.5569 8.7146
0.0000 -3.1137 8.7146
Tb Pm Tc
2 1 9
Direct
0.1435 0.1435 0.1435
0.8565 0.8565 0.8565
0.0000 0.0000 0.0000
0.0729 0.5887 0.5887
0.3388 0.3388 0.3388
0.4113 0.4113 0.9271
0.4113 0.9271 0.4113
0.5000 0.5000 0.5000
0.5887 0.0729 0.5887
0.5887 0.5887 0.0729
0.6612 0.6612 0.6612
0.9271 0.4113 0.4113


No. 2
KTi3H GGA-PBE optimized geometry; Fermi-level density of states = 4.62 states/eV/cell; distance to the lowest polymorph of the same formula = 179.1 kJ/mol of atoms; DFT total energy = -14.9 eV per cell; symmetry = Pm-3m, No. 221; size of the total moment = 3.02 μB per cell
1.0
4.5583 0.0000 0.0000
0.0000 4.5583 0.0000
0.0000 0.0000 4.5583
K Ti H
1 3 1
Direct
0.0000 0.0000 0.0000
0.0000 0.0000 0.5000
0.0000 0.5000 0.0000
0.5000 0.0000 0.0000
0.5000 0.5000 0.5000


No. 3
LiPuSiHg GGA-PBE optimized geometry; Fermi-level density of states = 39.78 states/eV/cell; DFT total energy = -90.8 eV per cell; symmetry = F-43m, No. 216; size of the total moment = 21.02 μB per cell
1.0
6.9670 0.0000 0.0000
0.0000 6.9670 0.0000
0.0000 0.0000 6.9670
Li Pu Si Hg
4 4 4 4
Direct
0.0000 0.0000 0.0000
0.0000 0.5000 0.5000
0.5000 0.0000 0.5000
0.5000 0.5000 0.0000
0.0000 0.0000 0.5000
0.0000 0.5000 0.0000
0.5000 0.0000 0.0000
0.5000 0.5000 0.5000
0.2500 0.2500 0.2500
0.2500 0.7500 0.7500
0.7500 0.2500 0.7500
0.7500 0.7500 0.2500
0.2500 0.2500 0.7500
0.2500 0.7500 0.2500
0.7500 0.2500 0.2500
0.7500 0.7500 0.7500


No. 4
SrLi2Tl2 GGA-PBE optimized geometry; Fermi-level density of states = 3.86 states/eV/cell; distance to the lowest polymorph of the same formula = 4.6 kJ/mol of atoms; DFT total energy = -22.5 eV per cell; symmetry = Cmmm, No. 65; size of the total moment = 0.00 μB per cell; energy relative to the elements = -201 meV/atom
1.0
5.3215 0.0000 0.0000
0.0000 7.1521 0.0000
0.0000 0.0000 7.1203
Sr Li Tl
2 4 4
Direct
0.0000 0.0000 0.0000
0.5000 0.5000 0.0000
0.0000 0.1765 0.5000
0.0000 0.8235 0.5000
0.5000 0.3235 0.5000
0.5000 0.6765 0.5000
0.0000 0.5000 0.2747
0.0000 0.5000 0.7253
0.5000 0.0000 0.2747
0.5000 0.0000 0.7253


No. 5
Na2UTlBr8 GGA-PBE optimized geometry; DFT total energy = -44.4 eV per cell; symmetry = P-1, No. 2; size of the total moment = 1.02 μB per cell
1.0
6.8829 0.0000 0.0000
0.2856 7.2404 0.0000
0.8608 1.0393 9.5388
Na U Tl Br
2 1 1 8
Direct
0.0826 0.0542 0.3032
0.9174 0.9458 0.6968
0.5000 0.5000 0.0000
0.5000 0.5000 0.5000
0.2003 0.1760 0.5465
0.2620 0.2077 0.0174
0.2648 0.6510 0.2006
0.2936 0.6808 0.7979
0.7064 0.3192 0.2021
0.7352 0.3490 0.7994
0.7380 0.7923 0.9826
0.7997 0.8240 0.4535


No. 6
NaLuSnBi GGA-PBE optimized geometry; Fermi-level density of states = 15.72 states/eV/cell; DFT total energy = -59.5 eV per cell; symmetry = F-43m, No. 216; size of the total moment = 0.01 μB per cell; energy relative to the elements = -287 meV/atom
1.0
7.6201 0.0000 0.0000
0.0000 7.6201 0.0000
0.0000 0.0000 7.6201
Na Lu Sn Bi
4 4 4 4
Direct
0.0000 0.0000 0.0000
0.0000 0.5000 0.5000
0.5000 0.0000 0.5000
0.5000 0.5000 0.0000
0.0000 0.0000 0.5000
0.0000 0.5000 0.0000
0.5000 0.0000 0.0000
0.5000 0.5000 0.5000
0.2500 0.2500 0.2500
0.2500 0.7500 0.7500
0.7500 0.2500 0.7500
0.7500 0.7500 0.2500
0.2500 0.2500 0.7500
0.2500 0.7500 0.2500
0.7500 0.2500 0.2500
0.7500 0.7500 0.7500


No. 7
TlPRu GGA-PBE optimized geometry; Fermi-level density of states = 1.54 states/eV/cell; distance to the lowest polymorph of the same formula = 32.2 kJ/mol of atoms; DFT total energy = -17.1 eV per cell; symmetry = P3m1, No. 156; size of the total moment = 0.00 μB per cell; energy relative to the elements = -12 meV/atom
1.0
3.2629 0.0000 0.0000
-1.6314 2.8257 0.0000
0.0000 0.0000 6.1839
Tl P Ru
1 1 1
Direct
0.0000 0.0000 0.0000
0.3333 0.6667 0.4175
0.6667 0.3333 0.6299


No. 8
La2Tb6Dy3Y GGA-PBE optimized geometry; Fermi-level density of states = 16.35 states/eV/cell; DFT total energy = -57.7 eV per cell; symmetry = C2/m, No. 12; size of the total moment = 0.00 μB per cell; energy relative to the elements = 20 meV/atom
1.0
3.1094 -5.3850 0.0000
3.1094 5.3850 0.0000
-2.0692 0.0000 11.7166
La Tb Dy Y
2 6 3 1
Direct
0.1664 0.8336 0.0000
0.8336 0.1664 0.0000
0.0821 0.4147 0.7454
0.2529 0.2529 0.2549
0.4147 0.0821 0.7454
0.5853 0.9179 0.2546
0.7471 0.7471 0.7451
0.9179 0.5853 0.2546
0.0000 0.0000 0.5000
0.3337 0.6663 0.5000
0.6663 0.3337 0.5000
0.5000 0.5000 0.0000


No. 9
TbGdGaOs GGA-PBE optimized geometry; Fermi-level density of states = 10.82 states/eV/cell; DFT total energy = -137.0 eV per cell; symmetry = F-43m, No. 216; size of the total moment = 27.99 μB per cell; energy relative to the elements = -324 meV/atom
1.0
7.0145 0.0000 0.0000
0.0000 7.0145 0.0000
0.0000 0.0000 7.0145
Tb Gd Ga Os
4 4 4 4
Direct
0.0000 0.0000 0.0000
0.0000 0.5000 0.5000
0.5000 0.0000 0.5000
0.5000 0.5000 0.0000
0.0000 0.0000 0.5000
0.0000 0.5000 0.0000
0.5000 0.0000 0.0000
0.5000 0.5000 0.5000
0.2500 0.2500 0.7500
0.2500 0.7500 0.2500
0.7500 0.2500 0.2500
0.7500 0.7500 0.7500
0.2500 0.2500 0.2500
0.2500 0.7500 0.7500
0.7500 0.2500 0.7500
0.7500 0.7500 0.2500


No. 10
CsNpP2O6 GGA-PBE optimized geometry; Fermi-level density of states = 8.35 states/eV/cell; DFT total energy = -152.2 eV per cell; symmetry = C2/c, No. 15; size of the total moment = 0.12 μB per cell
1.0
4.6272 -5.1574 0.0000
4.6272 5.1574 0.0000
-3.8351 0.0000 8.4002
Cs Np P O
2 2 4 12
Direct
0.2110 0.7890 0.7500
0.7890 0.2110 0.2500
0.3615 0.6385 0.2500
0.6385 0.3615 0.7500
0.1602 0.3128 0.8433
0.3128 0.1602 0.3433
0.6872 0.8398 0.6567
0.8398 0.6872 0.1567
0.0447 0.6325 0.2582
0.2495 0.5238 0.0003
0.3202 0.3426 0.7487
0.3426 0.3202 0.2487
0.3675 0.9553 0.2418
0.4762 0.7505 0.4997
0.5238 0.2495 0.5003
0.6325 0.0447 0.7582
0.6574 0.6798 0.7513
0.6798 0.6574 0.2513
0.7505 0.4762 0.9997
0.9553 0.3675 0.7418


No. 11
ZrSbAu GGA-PBE optimized geometry; Fermi-level density of states = 3.77 states/eV/cell; DFT total energy = -33.8 eV per cell; symmetry = R-3m, No. 166; size of the total moment = 0.00 μB per cell
1.0
2.3429 1.3527 7.4960
-2.3429 1.3527 7.4960
0.0000 -2.7053 7.4960
Zr Sb Au
2 2 2
Direct
0.0674 0.0674 0.0674
0.9326 0.9326 0.9326
0.2083 0.2083 0.2083
0.7917 0.7917 0.7917
0.3465 0.3465 0.3465
0.6535 0.6535 0.6535


No. 12
Ga2CuB2Ir5 GGA-PBE optimized geometry; Fermi-level density of states = 7.51 states/eV/cell; DFT total energy = -138.6 eV per cell; symmetry = P4/mbm, No. 127; size of the total moment = 0.00 μB per cell; energy relative to the elements = -150 meV/atom
1.0
9.3967 0.0000 0.0000
0.0000 9.3967 0.0000
0.0000 0.0000 2.9205
Ga Cu B Ir
4 2 4 10
Direct
0.1766 0.3234 0.0000
0.3234 0.8234 0.0000
0.6766 0.1766 0.0000
0.8234 0.6766 0.0000
0.0000 0.0000 0.0000
0.5000 0.5000 0.0000
0.1303 0.6303 0.0000
0.3697 0.1303 0.0000
0.6303 0.8697 0.0000
0.8697 0.3697 0.0000
0.0000 0.5000 0.5000
0.0815 0.7909 0.5000
0.2091 0.0815 0.5000
0.2909 0.5815 0.5000
0.4185 0.2909 0.5000
0.5000 0.0000 0.5000
0.5815 0.7091 0.5000
0.7091 0.4185 0.5000
0.7909 0.9185 0.5000
0.9185 0.2091 0.5000